Fe3CuS, optimized geometry, DFT GGA-PBE; SG = Pm-3m; E_form (uncorrected) = 5.8 eV per formula unit; excess energy over the best structure of this formula in the dataset = 79.11 kJ/mol of atoms; density of states at the Fermi level = 6.7 states/eV/f.u.; spin magnetization = 1.8343 μB per atom
1.0
-2.7161 -0.7188 3.3808
1.5497 -4.0966 0.3740
3.0895 1.4229 2.7846
Fe Cu S
3 1 1
direct
0.0000 0.0000 0.5000
0.5000 0.0000 0.0000
0.0000 0.5000 0.0000
0.0000 0.0000 0.0000
0.5000 0.5000 0.5000

CsAlIr3, optimized geometry, DFT GGA-PBE; SG = Pm-3m; excess energy over the best structure of this formula in the dataset = 0.00 kJ/mol of atoms; density of states at the Fermi level = 7.8 states/eV/f.u.; DFT formation energy = 1213 meV/atom; spin magnetization = 0.0000 μB per atom
1.0
4.7425 0.0000 0.0000
0.0000 4.7425 0.0000
0.0000 0.0000 4.7425
Ir Cs Al
3 1 1
direct
0.0000 0.0000 0.5000
0.5000 0.0000 0.0000
0.0000 0.5000 0.0000
0.5000 0.5000 0.5000
0.0000 0.0000 0.0000

Tb3DyTm2, optimized geometry, DFT GGA-PBE; SG = P-1; excess energy over the best structure of this formula in the dataset = 0.00 kJ/mol of atoms; density of states at the Fermi level = 7.3 states/eV/f.u.; DFT formation energy = -3 meV/atom; spin magnetization = 0.0000 μB per atom
1.0
6.8707 -1.1392 -1.4578
-4.0706 9.2243 -0.3635
-2.1371 0.6985 6.7502
Tb Tm Dy
6 4 2
direct
0.1952 0.3350 0.6389
0.7480 0.9988 0.2493
0.8048 0.6650 0.3611
0.1950 0.3348 0.1389
0.8050 0.6652 0.8611
0.2520 0.0012 0.7507
0.6962 0.3342 0.1396
0.6962 0.3340 0.6396
0.3038 0.6660 0.3604
0.3038 0.6658 0.8604
0.2518 0.0011 0.2507
0.7482 0.9989 0.7493

CsEr2Se3, optimized geometry, DFT GGA-PBE; SG = P2_1/m; E_form (uncorrected) = -9.4 eV per formula unit; excess energy over the best structure of this formula in the dataset = 2.26 kJ/mol of atoms; density of states at the Fermi level = 2.2 states/eV/f.u.; spin magnetization = 0.0000 μB per atom
1.0
4.1267 0.0000 0.0000
0.0000 7.5696 -1.6947
0.0000 -0.1993 11.1293
Se Cs Er
6 2 4
direct
0.2500 0.1680 0.9737
0.7500 0.8923 0.3483
0.2500 0.1077 0.6517
0.2500 0.3483 0.3664
0.7500 0.8320 0.0263
0.7500 0.6517 0.6336
0.7500 0.4721 0.1572
0.2500 0.5279 0.8428
0.7500 0.9986 0.8151
0.2500 0.0014 0.1849
0.2500 0.7636 0.4939
0.7500 0.2364 0.5061

SbAs2SeBr, optimized geometry, DFT GGA-PBE; SG = P4/mmm; E_form (uncorrected) = 4.0 eV per formula unit; excess energy over the best structure of this formula in the dataset = 12.31 kJ/mol of atoms; density of states at the Fermi level = 5.8 states/eV/f.u.; spin magnetization = 0.2776 μB per atom
1.0
5.4524 0.0000 0.0000
0.0000 5.4524 0.0000
0.0000 0.0000 5.2177
Sb As Br Se
1 2 1 1
direct
0.0000 0.0000 0.0000
0.5000 0.0000 0.0000
0.0000 0.5000 0.0000
0.5000 0.5000 0.5000
0.0000 0.0000 0.5000

YMgP, optimized geometry, DFT GGA-PBE; SG = F-43m; excess energy over the best structure of this formula in the dataset = 72.37 kJ/mol of atoms; density of states at the Fermi level = 1.6 states/eV/f.u.; DFT formation energy = -157 meV/atom; spin magnetization = 0.0000 μB per atom
1.0
-4.2905 -1.1155 1.7504
-1.7625 -4.3840 -0.6249
-0.3618 -2.9738 3.7071
Mg P Y
1 1 1
direct
0.0000 0.0000 0.0000
0.5000 0.5000 0.5000
0.7500 0.7500 0.7500

PmNd4Er8, optimized geometry, DFT GGA-PBE; SG = R-3m; density of states at the Fermi level = 21.3 states/eV/f.u.; DFT formation energy = 524 meV/atom; spin magnetization = 0.1428 μB per atom
1.0
-7.8134 -4.4844 6.3784
6.9651 -6.4925 -5.5838
5.7172 5.1878 1.0995
Er Nd Pm
8 4 1
direct
0.0006 0.2401 0.7612
0.0006 0.7606 0.7612
0.5213 0.7607 0.2819
0.5212 0.7606 0.7612
0.9994 0.2394 0.2388
0.9994 0.7599 0.2388
0.4788 0.2394 0.2388
0.4787 0.2394 0.7181
0.0000 0.0000 0.0000
0.0000 0.5000 0.0000
0.5000 0.5000 0.0000
0.5000 0.0000 0.0000
0.0000 0.5000 0.5000

SmDy2HoSe6, optimized geometry, DFT GGA-PBE; SG = R3; E_form (uncorrected) = -18.5 eV per formula unit; density of states at the Fermi level = 0.0 states/eV/f.u.; spin magnetization = 0.0000 μB per atom
1.0
-1.6927 -6.8072 -1.7982
2.2544 -2.7459 -6.3098
5.6302 -5.2941 0.1599
Se Dy Sm Ho
6 2 1 1
direct
0.7219 0.1206 0.7512
0.2242 0.9170 0.2490
0.9171 0.6097 0.2491
0.1207 0.4063 0.7512
0.4063 0.7219 0.7511
0.6097 0.2242 0.2490
0.5151 0.5150 0.4549
0.0129 0.0130 0.9612
0.8154 0.8154 0.5538
0.3184 0.3184 0.0447

Ac2Te2F, optimized geometry, DFT GGA-PBE; SG = I4_1/amd; E_form (uncorrected) = -10.3 eV per formula unit; excess energy over the best structure of this formula in the dataset = 11.09 kJ/mol of atoms; density of states at the Fermi level = 2.2 states/eV/f.u.; spin magnetization = 0.0152 μB per atom
1.0
-0.2567 -2.2322 -3.9648
4.2656 -1.5002 0.5684
-7.9830 -12.0234 9.9053
Te Ac F
4 4 2
direct
0.8186 0.8186 0.6372
0.1814 0.1814 0.3628
0.4314 0.9314 0.8628
0.0686 0.5686 0.1372
0.7109 0.7109 0.4218
0.2891 0.2891 0.5782
0.9609 0.4609 0.9218
0.5391 0.0391 0.0782
0.7500 0.2500 0.5000
0.5000 0.5000 0.0000

Pr5Pt3, optimized geometry, DFT GGA-PBE; SG = P4/ncc; density of states at the Fermi level = 7.3 states/eV/f.u.; DFT formation energy = -877 meV/atom; spin magnetization = 0.0000 μB per atom
1.0
6.7306 0.0000 0.0000
0.0000 11.4806 0.0000
0.0000 0.0000 11.4806
Pr Pt
20 12
direct
0.0000 0.5000 0.5000
0.5000 0.5000 0.5000
0.1221 0.0912 0.2933
0.1221 0.9088 0.7067
0.3779 0.4088 0.7933
0.8779 0.2933 0.9088
0.0000 0.0000 0.0000
0.3779 0.7067 0.9088
0.3779 0.5912 0.2067
0.6221 0.7933 0.5912
0.8779 0.5912 0.7933
0.8779 0.4088 0.2067
0.3779 0.2933 0.0912
0.5000 0.0000 0.0000
0.1221 0.2067 0.5912
0.6221 0.2067 0.4088
0.1221 0.7933 0.4088
0.6221 0.9088 0.2933
0.6221 0.0912 0.7067
0.8779 0.7067 0.0912
0.7500 0.3462 0.6538
0.2500 0.8462 0.1538
0.7500 0.1538 0.1538
0.6160 0.5000 0.0000
0.2500 0.1538 0.8462
0.1160 0.5000 0.0000
0.2500 0.3462 0.3462
0.7500 0.8462 0.8462
0.3840 0.0000 0.5000
0.8840 0.0000 0.5000
0.2500 0.6538 0.6538
0.7500 0.6538 0.3462

SmSc4Sb5, optimized geometry, DFT GGA-PBE; SG = Immm; E_form (uncorrected) = -9.7 eV per formula unit; density of states at the Fermi level = 1.9 states/eV/f.u.; spin magnetization = 0.0000 μB per atom
1.0
4.1467 0.0000 -0.8000
-0.3096 5.7819 -1.6050
0.0045 -0.0210 11.1705
Sb Sc Sm
5 4 1
direct
0.3920 0.8920 0.7841
0.0000 0.5000 0.0000
0.1985 0.6985 0.3970
0.8015 0.3015 0.6030
0.6080 0.1080 0.2159
0.2041 0.2041 0.4083
0.7959 0.7959 0.5917
0.3998 0.3998 0.7997
0.6002 0.6002 0.2003
0.0000 0.0000 0.0000

CsMgOs2, optimized geometry, DFT GGA-PBE; SG = I-42d; density of states at the Fermi level = 3.9 states/eV/f.u.; DFT formation energy = 1383 meV/atom; spin magnetization = 0.0014 μB per atom
1.0
-3.1199 3.2984 1.4556
0.4570 -1.5476 4.4864
5.9759 7.1593 4.3943
Cs Os Mg
2 4 2
direct
0.0000 0.0000 0.0000
0.7500 0.2500 0.5000
0.4257 0.1250 0.2500
0.3243 0.6250 0.2500
0.8750 0.6757 0.7500
0.3750 0.5743 0.7500
0.2500 0.7500 0.5000
0.5000 0.5000 0.0000

no.,final energy (eV for the cell shown)
1,-27.8
2,-25.1
3,-54.9
4,-59.6
5,-14.6
6,-13.9
7,-53.5
8,-57.9
9,-53.3
10,-196.2
11,-60.3
12,-38.7